{
  "formula": "La3Ce2NdY6",
  "functional": "PBE",
  "state": "optimized geometry",
  "spacegroup": "No. 12",
  "magmom_total_mub_per_cell": 2.00,
  "rho_g_cm3": 5.7,
  "e_tot_ev_per_atom": -5.804,
  "cell": [[3.1396, -5.4389, 0.0000], [3.1396, 5.4389, 0.0000], [-2.0951, 0.0000, 11.6985]],
  "species": ["La", "La", "La", "Ce", "Ce", "Nd", "Y", "Y", "Y", "Y", "Y", "Y"],
  "fractional_positions": [[0.0000, 0.0000, 0.0000], [0.3343, 0.6657, 0.0000], [0.6657, 0.3343, 0.0000], [0.1666, 0.8334, 0.5000], [0.8334, 0.1666, 0.5000], [0.5000, 0.5000, 0.5000], [0.0828, 0.4183, 0.2551], [0.2461, 0.2461, 0.7449], [0.4183, 0.0828, 0.2551], [0.5817, 0.9172, 0.7449], [0.7539, 0.7539, 0.2551], [0.9172, 0.5817, 0.7449]]
}